# Pd2WN2 | OQMD | PBE | relaxed
data_Pd2WN2
_cell_length_a 5.943
_cell_length_b 5.943
_cell_length_c 5.943
_cell_angle_alpha 127.88
_cell_angle_beta 127.88
_cell_angle_gamma 76.81
_symmetry_space_group_name_H-M 'P 1'
_symmetry_Int_Tables_number 1
_symmetry_space_group_name_Hall 'P 1'
loop_
_atom_site_label
_atom_site_type_symbol
_atom_site_fract_x
_atom_site_fract_y
_atom_site_fract_z
Pd1 Pd 0.000 0.000 0.000
Pd2 Pd 0.000 0.000 0.500
Pd3 Pd 0.000 0.500 0.000
Pd4 Pd 0.500 0.000 0.500
W1 W 0.375 0.625 0.750
W2 W 0.625 0.375 0.250
N1 N 0.165 0.415 0.750
N2 N 0.415 0.165 0.250
N3 N 0.585 0.835 0.750
N4 N 0.835 0.585 0.250
# Total moment: 1.849 μB/cell
# VASP energy: -72.7 eV per cell
# Symmetry: I4_1/amd (141)



# ZnPd5N | OQMD | PBE | relaxed
data_ZnPd5N
_cell_length_a 3.803
_cell_length_b 3.803
_cell_length_c 6.800
_cell_angle_alpha 90.00
_cell_angle_beta 90.00
_cell_angle_gamma 90.00
_symmetry_space_group_name_H-M 'P 1'
_symmetry_Int_Tables_number 1
_symmetry_space_group_name_Hall 'P 1'
loop_
_atom_site_label
_atom_site_type_symbol
_atom_site_fract_x
_atom_site_fract_y
_atom_site_fract_z
Zn1 Zn 0.000 0.000 0.000
Pd1 Pd 0.000 0.500 0.300
Pd2 Pd 0.000 0.500 0.700
Pd3 Pd 0.500 0.000 0.300
Pd4 Pd 0.500 0.000 0.700
Pd5 Pd 0.500 0.500 0.000
N1 N 0.500 0.500 0.500
# VASP energy: -34.4 eV per cell
# Symmetry: P4/mmm (123)



# Pm2N | OQMD | PBE | relaxed
data_Pm2N
_cell_length_a 7.535
_cell_length_b 7.535
_cell_length_c 7.535
_cell_angle_alpha 60.00
_cell_angle_beta 60.00
_cell_angle_gamma 60.00
_symmetry_space_group_name_H-M 'P 1'
_symmetry_Int_Tables_number 1
_symmetry_space_group_name_Hall 'P 1'
loop_
_atom_site_label
_atom_site_type_symbol
_atom_site_fract_x
_atom_site_fract_y
_atom_site_fract_z
Pm1 Pm 0.000 0.000 0.000
Pm2 Pm 0.000 0.000 0.500
Pm3 Pm 0.000 0.500 0.000
Pm4 Pm 0.500 0.000 0.000
N1 N 0.125 0.125 0.125
N2 N 0.875 0.875 0.875
# Total moment: 1.945 μB/cell
# Energy relative to the lowest polymorph listed for this composition: 0.00 eV/f.u.
# VASP energy: -35.2 eV per cell
# Symmetry: Fd-3m (227)



# PmN2 | OQMD | PBE | relaxed
data_PmN2
_cell_length_a 7.434
_cell_length_b 7.434
_cell_length_c 7.434
_cell_angle_alpha 60.00
_cell_angle_beta 60.00
_cell_angle_gamma 60.00
_symmetry_space_group_name_H-M 'P 1'
_symmetry_Int_Tables_number 1
_symmetry_space_group_name_Hall 'P 1'
loop_
_atom_site_label
_atom_site_type_symbol
_atom_site_fract_x
_atom_site_fract_y
_atom_site_fract_z
Pm1 Pm 0.125 0.125 0.125
Pm2 Pm 0.875 0.875 0.875
N1 N 0.000 0.000 0.000
N2 N 0.000 0.000 0.500
N3 N 0.000 0.500 0.000
N4 N 0.500 0.000 0.000
# Total moment: 6.000 μB/cell
# Energy relative to the lowest polymorph listed for this composition: 1.31 eV/f.u.
# VASP energy: -36.4 eV per cell
# Symmetry: Fd-3m (227)



# PmN2 | OQMD | PBE | relaxed
data_PmN2
_cell_length_a 4.642
_cell_length_b 4.642
_cell_length_c 4.642
_cell_angle_alpha 60.00
_cell_angle_beta 60.00
_cell_angle_gamma 60.00
_symmetry_space_group_name_H-M 'P 1'
_symmetry_Int_Tables_number 1
_symmetry_space_group_name_Hall 'P 1'
loop_
_atom_site_label
_atom_site_type_symbol
_atom_site_fract_x
_atom_site_fract_y
_atom_site_fract_z
Pm1 Pm 0.125 0.125 0.125
Pm2 Pm 0.875 0.875 0.875
N1 N 0.000 0.500 0.500
N2 N 0.500 0.000 0.500
N3 N 0.500 0.500 0.000
N4 N 0.500 0.500 0.500
# Total moment: 0.007 μB/cell
# Energy relative to the lowest polymorph listed for this composition: 1.59 eV/f.u.
# VASP energy: -35.9 eV per cell
# Symmetry: Fd-3m (227)



# PmN2 | OQMD | PBE | relaxed
data_PmN2
_cell_length_a 5.334
_cell_length_b 5.334
_cell_length_c 3.918
_cell_angle_alpha 90.00
_cell_angle_beta 90.00
_cell_angle_gamma 90.00
_symmetry_space_group_name_H-M 'P 1'
_symmetry_Int_Tables_number 1
_symmetry_space_group_name_Hall 'P 1'
loop_
_atom_site_label
_atom_site_type_symbol
_atom_site_fract_x
_atom_site_fract_y
_atom_site_fract_z
Pm1 Pm 0.000 0.000 0.000
Pm2 Pm 0.500 0.500 0.500
N1 N 0.185 0.185 0.500
N2 N 0.315 0.685 0.000
N3 N 0.685 0.315 0.000
N4 N 0.815 0.815 0.500
# Total moment: 6.001 μB/cell
# Energy relative to the lowest polymorph listed for this composition: 0.00 eV/f.u.
# VASP energy: -39.1 eV per cell
# Symmetry: P4_2/mnm (136)



# PmPr2N3 | OQMD | PBE | relaxed
data_PmPr2N3
_cell_length_a 3.647
_cell_length_b 3.647
_cell_length_c 8.931
_cell_angle_alpha 90.00
_cell_angle_beta 90.00
_cell_angle_gamma 120.00
_symmetry_space_group_name_H-M 'P 1'
_symmetry_Int_Tables_number 1
_symmetry_space_group_name_Hall 'P 1'
loop_
_atom_site_label
_atom_site_type_symbol
_atom_site_fract_x
_atom_site_fract_y
_atom_site_fract_z
Pm1 Pm 0.000 0.000 0.000
Pr1 Pr 0.333 0.667 0.331
Pr2 Pr 0.667 0.333 0.669
N1 N 0.000 0.000 0.500
N2 N 0.333 0.667 0.837
N3 N 0.667 0.333 0.163
# Total moment: 0.004 μB/cell
# VASP energy: -47.3 eV per cell
# Symmetry: P-3m1 (164)



# PmPtN | OQMD | PBE | relaxed
data_PmPtN
_cell_length_a 3.933
_cell_length_b 3.933
_cell_length_c 11.942
_cell_angle_alpha 90.00
_cell_angle_beta 90.00
_cell_angle_gamma 120.00
_symmetry_space_group_name_H-M 'P 1'
_symmetry_Int_Tables_number 1
_symmetry_space_group_name_Hall 'P 1'
loop_
_atom_site_label
_atom_site_type_symbol
_atom_site_fract_x
_atom_site_fract_y
_atom_site_fract_z
Pm1 Pm 0.000 0.000 0.000
Pm2 Pm 0.667 0.333 0.334
Pm3 Pm 0.667 0.333 0.666
Pt1 Pt 0.333 0.667 0.187
Pt2 Pt 0.333 0.667 0.500
Pt3 Pt 0.333 0.667 0.813
N1 N 0.000 0.000 0.224
N2 N 0.000 0.000 0.776
N3 N 0.667 0.333 0.000
# Total moment: 0.608 μB/cell
# VASP energy: -60.6 eV per cell
# Symmetry: P-6m2 (187)



# Pm3S2N | OQMD | PBE | relaxed
data_Pm3S2N
_cell_length_a 3.825
_cell_length_b 3.825
_cell_length_c 9.838
_cell_angle_alpha 90.00
_cell_angle_beta 90.00
_cell_angle_gamma 120.00
_symmetry_space_group_name_H-M 'P 1'
_symmetry_Int_Tables_number 1
_symmetry_space_group_name_Hall 'P 1'
loop_
_atom_site_label
_atom_site_type_symbol
_atom_site_fract_x
_atom_site_fract_y
_atom_site_fract_z
Pm1 Pm 0.000 0.000 0.000
Pm2 Pm 0.333 0.667 0.637
Pm3 Pm 0.667 0.333 0.363
S1 S 0.333 0.667 0.178
S2 S 0.667 0.333 0.822
N1 N 0.000 0.000 0.500
# Total moment: 0.005 μB/cell
# VASP energy: -41.8 eV per cell
# Symmetry: P-3m1 (164)



# PmSmSN2 | OQMD | PBE | relaxed
data_PmSmSN2
_cell_length_a 3.976
_cell_length_b 3.976
_cell_length_c 6.781
_cell_angle_alpha 90.00
_cell_angle_beta 90.00
_cell_angle_gamma 120.00
_symmetry_space_group_name_H-M 'P 1'
_symmetry_Int_Tables_number 1
_symmetry_space_group_name_Hall 'P 1'
loop_
_atom_site_label
_atom_site_type_symbol
_atom_site_fract_x
_atom_site_fract_y
_atom_site_fract_z
Pm1 Pm 0.000 0.000 0.000
Sm1 Sm 0.333 0.667 0.554
S1 S 0.667 0.333 0.278
N1 N 0.000 0.000 0.647
N2 N 0.333 0.667 0.903
# Total moment: 1.987 μB/cell
# VASP energy: -35.6 eV per cell
# Symmetry: P3m1 (156)



# Pm2SeN | OQMD | PBE | relaxed
data_Pm2SeN
_cell_length_a 3.936
_cell_length_b 3.936
_cell_length_c 5.572
_cell_angle_alpha 90.00
_cell_angle_beta 90.00
_cell_angle_gamma 90.00
_symmetry_space_group_name_H-M 'P 1'
_symmetry_Int_Tables_number 1
_symmetry_space_group_name_Hall 'P 1'
loop_
_atom_site_label
_atom_site_type_symbol
_atom_site_fract_x
_atom_site_fract_y
_atom_site_fract_z
Pm1 Pm 0.000 0.000 0.000
Pm2 Pm 0.500 0.500 0.500
Se1 Se 0.000 0.000 0.500
N1 N 0.500 0.500 0.000
# Total moment: 0.005 μB/cell
# VASP energy: -26.5 eV per cell
# Symmetry: P4/mmm (123)



# Pm3Se2N | OQMD | PBE | relaxed
data_Pm3Se2N
_cell_length_a 3.894
_cell_length_b 3.894
_cell_length_c 10.305
_cell_angle_alpha 90.00
_cell_angle_beta 90.00
_cell_angle_gamma 120.00
_symmetry_space_group_name_H-M 'P 1'
_symmetry_Int_Tables_number 1
_symmetry_space_group_name_Hall 'P 1'
loop_
_atom_site_label
_atom_site_type_symbol
_atom_site_fract_x
_atom_site_fract_y
_atom_site_fract_z
Pm1 Pm 0.000 0.000 0.000
Pm2 Pm 0.333 0.667 0.628
Pm3 Pm 0.667 0.333 0.372
Se1 Se 0.333 0.667 0.182
Se2 Se 0.667 0.333 0.818
N1 N 0.000 0.000 0.500
# Total moment: 0.011 μB/cell
# VASP energy: -39.5 eV per cell
# Symmetry: P-3m1 (164)